1.
VASP calculation (PBE) on PmS after structural relaxation.

```
data_PmS
_cell_length_a 5.706
_cell_length_b 5.706
_cell_length_c 5.706
_cell_angle_alpha 90.00
_cell_angle_beta 90.00
_cell_angle_gamma 90.00
_symmetry_space_group_name_H-M 'F m -3 m'
_symmetry_Int_Tables_number 225
_symmetry_space_group_name_Hall '-F 4 2 3'
loop_
_atom_site_label
_atom_site_type_symbol
_atom_site_fract_x
_atom_site_fract_y
_atom_site_fract_z
Pm1 Pm 0.000 0.000 0.000
S1 S 0.000 0.000 0.500
```

Properties
* polymorph energy (0 for the lowest one): 0.0000 eV per atom

=====

2.
VASP calculation (PBE) on PmS3 after structural relaxation.

```
data_PmS3
_cell_length_a 5.7272
_cell_length_b 5.7272
_cell_length_c 5.6378
_cell_angle_alpha 90.00
_cell_angle_beta 90.00
_cell_angle_gamma 120.00
_symmetry_space_group_name_H-M 'P 63/m m c'
_symmetry_Int_Tables_number 194
_symmetry_space_group_name_Hall '-P 6c 2c'
loop_
_atom_site_label
_atom_site_type_symbol
_atom_site_fract_x
_atom_site_fract_y
_atom_site_fract_z
Pm1 Pm 0.3333 0.6667 0.2500
S1 S 0.1753 0.3506 0.7500
```

=====

3.
VASP calculation (PBE) on Pm5SbS4 after structural relaxation.

```
data_Pm5SbS4
_cell_length_a 13.714
_cell_length_b 4.118
_cell_length_c 10.132
_cell_angle_alpha 90.00
_cell_angle_beta 119.45
_cell_angle_gamma 90.00
_symmetry_space_group_name_H-M 'C 1 2/m 1'
_symmetry_Int_Tables_number 12
_symmetry_space_group_name_Hall '-C 2y'
loop_
_atom_site_label
_atom_site_type_symbol
_atom_site_fract_x
_atom_site_fract_y
_atom_site_fract_z
Pm1 Pm 0.000 0.000 0.000
Pm2 Pm 0.108 0.500 0.389
Pm3 Pm 0.206 0.000 0.815
Sb1 Sb 0.000 0.000 0.500
S1 S 0.095 0.500 0.897
S2 S 0.204 0.000 0.293
```

=====

4.
VASP calculation (PBE) on PmSbS after structural relaxation.

```
data_PmSbS
_cell_length_a 17.742
_cell_length_b 4.133
_cell_length_c 4.141
_cell_angle_alpha 90.00
_cell_angle_beta 90.00
_cell_angle_gamma 90.00
_symmetry_space_group_name_H-M 'P n m a'
_symmetry_Int_Tables_number 62
_symmetry_space_group_name_Hall '-P 2ac 2n'
loop_
_atom_site_label
_atom_site_type_symbol
_atom_site_fract_x
_atom_site_fract_y
_atom_site_fract_z
Pm1 Pm 0.154 0.250 0.242
Sb1 Sb 0.001 0.250 0.741
S1 S 0.186 0.750 0.744
```

Properties
* polymorph energy (0 for the lowest one): 0.0000 eV per atom

=====

| no. | magnetic moment (μB/cell) | raw formation energy (eV/atom) | VASP energy (eV for the cell shown) |
| --- | --- | --- | --- |
| 1 | 0.0 | -2.030 | -51.7 |
| 2 | 0.0 | -0.811 | -40.8 |
| 3 | 0.0 | -1.831 | -125.4 |
| 4 | 0.0 | -1.442 | -69.3 |